(1)
RbCuBiSe2, relaxed, DFT PBE; total magnetization = 0.000 μB per formula unit; calculated density = 5.585 g/cm3; SG = P2/c; final energy = -18.2 eV/f.u.; formation energy without anion corrections = -0.456 eV/atom
1.0
4.269 0.000 0.000
0.000 7.954 0.674
0.000 -1.711 8.890
Bi Rb Se Cu
2 2 4 2
Direct
0.485 0.000 0.250
0.515 0.000 0.750
0.868 0.500 0.250
0.132 0.500 0.750
0.348 0.768 0.480
0.348 0.232 0.020
0.652 0.232 0.520
0.652 0.768 0.980
0.000 0.000 0.500
0.000 0.000 0.000


(2)
RbCuSn2Bi, relaxed, DFT PBE; total magnetization = 0.000 μB per formula unit; calculated density = 5.124 g/cm3; ΔE_f = 0.46 eV per atom; SG = P4/mmm; final energy = -14.7 eV/f.u.
1.0
6.237 0.000 0.000
0.000 4.960 0.000
0.000 0.000 6.237
Sn Cu Bi Rb
2 1 1 1
Direct
0.500 0.000 0.000
0.000 0.000 0.500
0.000 0.500 0.000
0.000 0.000 0.000
0.500 0.500 0.500


(3)
RbCuBi2Te4, relaxed, DFT PBE; total magnetization = 0.000 μB per formula unit; calculated density = 6.359 g/cm3; SG = Cmcm; final energy = -28.3 eV/f.u.; formation energy without anion corrections = -0.357 eV/atom
1.0
4.504 0.000 0.000
-2.252 7.739 0.000
0.000 0.000 16.141
Te Bi Cu Rb
8 4 2 2
Direct
0.423 0.845 0.750
0.000 0.000 0.000
0.737 0.475 0.611
0.000 0.000 0.500
0.577 0.155 0.250
0.263 0.525 0.111
0.737 0.475 0.889
0.263 0.525 0.389
0.635 0.271 0.059
0.635 0.271 0.441
0.365 0.729 0.941
0.365 0.729 0.559
0.158 0.316 0.250
0.842 0.684 0.750
0.894 0.787 0.250
0.106 0.213 0.750


(4)
RbTl2CuBi, relaxed, DFT PBE; total magnetization = 0.000 μB per formula unit; calculated density = 7.730 g/cm3; ΔE_f = 0.05 eV per atom; SG = P4/mmm; final energy = -13.4 eV/f.u.
1.0
5.447 0.000 0.000
0.000 5.447 0.000
0.000 0.000 5.552
Tl Rb Cu Bi
2 1 1 1
Direct
0.000 0.500 0.000
0.500 0.000 0.000
0.500 0.500 0.500
0.000 0.000 0.000
0.000 0.000 0.500